! K2AgSbO4 | Alexandria | PBE | optimized geometry; values from VASP
! Space-group type: I-4
! Energy relative to the elements, uncorrected (eV per atom): -1.24
! Final energy (eV for the cell shown): -38.9
&SYSTEM
  ibrav = 0, nat = 8, ntyp = 4
/
ATOMIC_SPECIES
K 39.10 K.upf
Ag 107.87 Ag.upf
Sb 121.76 Sb.upf
O 16.00 O.upf
CELL_PARAMETERS angstrom
5.879 0.076 0.116
-2.436 5.351 -0.116
-2.436 -2.260 4.852
ATOMIC_POSITIONS angstrom
K 0.503 3.486 1.184
K 0.000 0.000 0.000
Ag 0.503 -0.319 3.668
Sb -2.436 1.546 2.368
O 1.538 1.385 2.398
O -1.610 -0.170 2.619
O 4.040 2.434 0.849
O -1.956 2.685 3.837